# SCAN KCa2Ni, single point on PBEsol structure
data_KCa2Ni
_space_group_name_H-M_alt 'I -4 m 2'
_space_group_IT_number 119
_space_group_name_Hall 'I -4 -2'
_cell_length_a 4.732
_cell_length_b 4.732
_cell_length_c 10.548
_cell_angle_alpha 90.00
_cell_angle_beta 90.00
_cell_angle_gamma 90.00
loop_
_atom_site_label
_atom_site_fract_x
_atom_site_fract_y
_atom_site_fract_z
K1 0.000 0.000 0.000
Ca1 0.000 0.000 0.500
Ca2 0.000 0.500 0.750
Ni1 0.000 0.500 0.250
# - Energy above the lowest structure with this stoichiometry: 351 meV/atom
# - Raw total energy: -82.85 eV for the cell shown
# - Magnetic moment: 0.0 μB per cell
# - ΔE_f: 0.6014 eV per atom